First-principles (PBE-GGA) data for CsTaTcO6 after structural relaxation, as listed in Alexandria.

Values from the calculation:
Space-group type: No. 143
Total magnetic moment in μB/atom: 0.11
N(E_F) in states/eV per atom: 0.369

a = 5.385 Å, b = 5.385 Å, c = 6.616 Å
α = 90.00°, β = 90.00°, γ = 120.00°
Atoms (fractional coordinates):
Cs1 0.000 0.000 0.000
Ta1 0.333 0.667 0.481
Tc1 0.667 0.333 0.524
O1 0.425 0.412 0.334
O2 0.439 0.003 0.681
O3 0.564 0.561 0.681
O4 0.588 0.013 0.334
O5 0.987 0.575 0.334
O6 0.997 0.436 0.681

---

First-principles (PBE-GGA) data for Cs2TaTeO6 after structural relaxation, as listed in Alexandria.

Values from the calculation:
Space-group type: No. 139
Total magnetic moment in μB/atom: 0.00
N(E_F) in states/eV per atom: 0.230

a = 5.956 Å, b = 5.956 Å, c = 5.956 Å
α = 119.96°, β = 119.96°, γ = 90.06°
Atoms (fractional coordinates):
Cs1 0.250 0.750 0.500
Cs2 0.750 0.250 0.500
Ta1 0.000 0.000 0.000
Te1 0.500 0.500 0.000
O1 0.243 0.243 0.000
O2 0.243 0.243 0.485
O3 0.243 0.757 0.000
O4 0.757 0.243 0.000
O5 0.757 0.757 0.000
O6 0.757 0.757 0.515

---

First-principles (PBE-GGA) data for CsTaTe2O8 after structural relaxation, as listed in Alexandria.

Values from the calculation:
Space-group type: No. 12
Total magnetic moment in μB/atom: 0.00
N(E_F) in states/eV per atom: 0.326

a = 5.913 Å, b = 5.913 Å, c = 9.159 Å
α = 107.15°, β = 107.15°, γ = 58.42°
Atoms (fractional coordinates):
Cs1 0.000 0.000 0.000
Ta1 0.500 0.500 0.500
Te1 0.200 0.200 0.673
Te2 0.800 0.800 0.327
O1 0.182 0.675 0.335
O2 0.312 0.312 0.875
O3 0.325 0.325 0.536
O4 0.325 0.818 0.665
O5 0.675 0.182 0.335
O6 0.675 0.675 0.464
O7 0.688 0.688 0.125
O8 0.818 0.325 0.665

---

First-principles (PBE-GGA) data for CsTaTeO5 after structural relaxation, as listed in Alexandria.

Values from the calculation:
Space-group type: No. 15
Total magnetic moment in μB/atom: 0.00

a = 6.335 Å, b = 6.335 Å, c = 7.692 Å
α = 102.75°, β = 102.75°, γ = 104.51°
Atoms (fractional coordinates):
Cs1 0.163 0.837 0.750
Cs2 0.837 0.163 0.250
Ta1 0.500 0.500 0.000
Ta2 0.500 0.500 0.500
Te1 0.186 0.814 0.250
Te2 0.814 0.186 0.750
O1 0.167 0.327 0.929
O2 0.220 0.594 0.389
O3 0.327 0.167 0.429
O4 0.406 0.780 0.111
O5 0.451 0.549 0.750
O6 0.549 0.451 0.250
O7 0.594 0.220 0.889
O8 0.673 0.833 0.571
O9 0.780 0.406 0.611
O10 0.833 0.673 0.071

---

For each record above, in turn, the calculated uncorrected formation energy values are -1.996 -1.656 -1.455 -1.837 eV per atom.